Computed, not measured: an optimized crystal structure of TaCdFeBi at the GGA-PBE level of DFT.

Polymorph energy (0 for the lowest one) = 0.038 eV per formula unit

Lattice parameters (Å, degrees): 6.788 6.788 6.788 90.00 90.00 90.00
Space group F-43m (No. 216)
Asymmetric unit:
Ta (0.000, 0.000, 0.000) (multiplicity 4)
Cd (0.250, 0.250, 0.250) (multiplicity 4)
Fe (0.250, 0.250, 0.750) (multiplicity 4)
Bi (0.000, 0.000, 0.500) (multiplicity 4)